## ScCd2Ag (GGA-PBE)

Data for ScCd2Ag after structural relaxation.

Cell and atoms, written as POSCAR:
```
ScCd2Ag
1.0
3.312 0.000 0.000
0.000 3.312 0.000
0.000 0.000 7.606
Sc Cd Ag
1 2 1
direct
0.000 0.000 0.000 Sc
0.000 0.000 0.469 Cd
0.500 0.500 0.733 Cd
0.500 0.500 0.233 Ag
```

Its space-group type is No. 99. The calculation puts the uncorrected energy at -11.7 eV/f.u. The density is 7.52 g cm⁻³. The calculation puts the total moment at 0.0 μB/cell. The calculation puts the energy of formation from the pure elements at -3.98 kcal/mol of atoms.